Entry 1:
Below is crystalline GaSiH2 at its relaxed geometry, with properties calculated at the PBE level.

uncorrected energy = -27.27 eV for the cell shown

a b c (Å): 2.6836 2.5665 14.6558
angles (deg): 90.00 90.00 90.00
Closest atoms and distances in Å follow each position.
Space group Amm2 (No. 38)
One atom of each set of equivalent atoms:
Ga: 0.0000 0.0000 0.0000  2 H 1.77
Si: 0.0000 0.0000 0.1902  1 H 1.53
H: 0.0000 0.0000 0.2942  1 Si 1.53
H: 0.5000 0.0000 0.9213  2 Ga 1.77

=====

Entry 2:
Below is crystalline Li4ZnCd at its relaxed geometry, with properties calculated at the PBE level.

formation enthalpy at 0 K = -0.146 eV/atom
uncorrected energy = -10.72 eV for the cell shown

a b c (Å): 3.3496 3.3496 9.2203
angles (deg): 90.00 90.00 90.00
Closest atoms and distances in Å follow each position.
Space group P4/mmm (No. 123)
One atom of each set of equivalent atoms:
Li: 0.0000 0.0000 0.1515  4 Zn 2.75, 5 Li 2.79-2.86
Li: 0.5000 0.5000 0.3246  4 Li 2.86, 4 Cd 2.87, 1 Zn 2.99
Zn: 0.5000 0.5000 0.0000  10 Li 2.75-2.99
Cd: 0.0000 0.0000 0.5000  8 Li 2.87

=====

Entry 3:
Below is crystalline PrSm2Ir at its relaxed geometry, with properties calculated at the PBE level.

formation enthalpy at 0 K = -0.319 eV/atom
uncorrected energy = -24.35 eV for the cell shown

a b c (Å): 3.5761 3.5761 9.0816
angles (deg): 90.00 90.00 90.00
Closest atoms and distances in Å follow each position.
Space group P4/mmm (No. 123)
One atom of each set of equivalent atoms:
Pr: 0.0000 0.0000 0.0000  4 Pr 3.58, 8 Sm 3.84
Sm: 0.5000 0.5000 0.3187  4 Ir 3.02, 1 Sm 3.29
Ir: 0.0000 0.0000 0.5000  8 Sm 3.02

=====

Entry 4:
Below is crystalline FeRe2Se at its relaxed geometry, with properties calculated at the PBE level.

uncorrected energy = -69.46 eV for the cell shown

a b c (Å): 2.9502 4.2919 9.3692
angles (deg): 90.00 90.00 90.00
Closest atoms and distances in Å follow each position.
Space group Immm (No. 71)
One atom of each set of equivalent atoms:
Fe: 0.0000 0.0000 0.0000  4 Se 2.60
Re: 0.0000 0.5000 0.2153  2 Se 2.50, 4 Re 2.68
Se: 0.0000 0.0000 0.5000  4 Re 2.50, 4 Fe 2.60

=====

Entry 5:
Below is crystalline RbRuCl3 at its relaxed geometry, with properties calculated at the PBE level.

uncorrected energy = -19.91 eV for the cell shown

a b c (Å): 4.9720 4.9720 4.9720
angles (deg): 90.00 90.00 90.00
Closest atoms and distances in Å follow each position.
Space group Pm-3m (No. 221)
One atom of each set of equivalent atoms:
Rb: 0.0000 0.0000 0.0000  12 Cl 3.52
Ru: 0.5000 0.5000 0.5000  6 Cl 2.49
Cl: 0.0000 0.5000 0.5000  2 Ru 2.49

=====

Entry 6:
Below is crystalline Ca3Ga2AgAu9 at its relaxed geometry, with properties calculated at the PBE level.

formation enthalpy at 0 K = -0.266 eV/atom
uncorrected energy = -48.39 eV for the cell shown

a b c (Å): 8.0471 8.0471 6.5035
angles (deg): 90.00 90.00 120.00
Closest atoms and distances in Å follow each position.
Space group P-3m1 (No. 164)
One atom of each set of equivalent atoms:
Ca: 0.0000 0.0000 0.0000  2 Ag 3.25, 6 Au 3.28
Ca: 0.3333 0.6667 0.6662  6 Au 3.08-3.18, 2 Ga 3.14-3.36
Ga: 0.3333 0.6667 0.1497  6 Au 2.52-2.53
Ag: 0.0000 0.0000 0.5000  6 Au 2.65
Au: 0.0000 0.5000 0.0000  2 Ga 2.52
Au: 0.1745 0.3489 0.3375  1 Ga 2.53, 1 Ag 2.65

=====

Entry 7:
Below is crystalline Tc2Rh at its relaxed geometry, with properties calculated at the PBE level.

formation enthalpy at 0 K = 0.893 eV/atom
uncorrected energy = -101.61 eV for the cell shown

a b c (Å): 5.9776 5.9776 5.9776
angles (deg): 90.00 90.00 90.00
Closest atoms and distances in Å follow each position.
Space group Pa-3 (No. 205)
One atom of each set of equivalent atoms:
Tc: 0.1060 0.1060 0.1060  1 Tc 2.20
Rh: 0.0000 0.0000 0.5000  6 Tc 2.52

=====

Entry 8:
Below is crystalline Pm3SiGe6Pd2 at its relaxed geometry, with properties calculated at the PBE level.

uncorrected energy = -62.12 eV for the cell shown

a b c (Å): 5.6952 5.6952 9.1204
angles (deg): 90.00 90.00 120.00
Closest atoms and distances in Å follow each position.
Space group P-3m1 (No. 164)
One atom of each set of equivalent atoms:
Pm: 0.0000 0.0000 0.0000  6 Ge 3.03, 6 Pd 3.31
Pm: 0.3333 0.6667 0.5881  9 Ge 3.11-3.27, 3 Si 3.38
Si: 0.0000 0.0000 0.5000  6 Ge 2.67
Ge: 0.1732 0.3464 0.2744  1 Pd 2.65, 1 Si 2.67, 4 Ge 2.74-2.96
Pd: 0.3333 0.6667 0.0412  3 Ge 2.65

=====

Entry 9:
Below is crystalline BP2IrCl at its relaxed geometry, with properties calculated at the PBE level.

uncorrected energy = -22.98 eV for the cell shown

a b c (Å): 4.0514 4.0514 4.1869
angles (deg): 90.00 90.00 90.00
Closest atoms and distances in Å follow each position.
Space group P4/mmm (No. 123)
One atom of each set of equivalent atoms:
B: 0.0000 0.0000 0.0000  4 P 2.03, 2 Cl 2.09
P: 0.0000 0.5000 0.0000  2 B 2.03
Ir: 0.5000 0.5000 0.5000  4 Cl 2.86, 8 P 2.91
Cl: 0.0000 0.0000 0.5000  2 B 2.09

=====

Entry 10:
Below is crystalline KTl2Ag at its relaxed geometry, with properties calculated at the PBE level.

formation enthalpy at 0 K = 0.090 eV/atom
uncorrected energy = -8.32 eV for the cell shown

a b c (Å): 4.8321 4.8321 5.1347
angles (deg): 90.00 90.00 90.00
Closest atoms and distances in Å follow each position.
Space group P4/mmm (No. 123)
One atom of each set of equivalent atoms:
K: 0.0000 0.0000 0.0000  4 Ag 3.42, 8 Tl 3.53
Tl: 0.0000 0.5000 0.5000  4 Tl 3.42, 4 K 3.53, 4 Ag 3.53
Ag: 0.5000 0.5000 0.0000  4 K 3.42, 8 Tl 3.53

=====

Entry 11:
Below is crystalline NaNdInPb at its relaxed geometry, with properties calculated at the PBE level.

formation enthalpy at 0 K = -0.351 eV/atom
uncorrected energy = -13.94 eV for the cell shown

a b c (Å): 4.6103 4.8566 4.9889
angles (deg): 90.00 90.00 90.00
Closest atoms and distances in Å follow each position.
Space group Pmmm (No. 47)
One atom of each set of equivalent atoms:
Na: 0.0000 0.0000 0.0000  4 In 3.35, 4 Pb 3.40, 4 Nd 3.48
Nd: 0.0000 0.5000 0.5000  4 Pb 3.35, 4 In 3.40, 4 Na 3.48
In: 0.5000 0.5000 0.0000  4 Na 3.35, 4 Nd 3.40, 4 Pb 3.48
Pb: 0.5000 0.0000 0.5000  4 Nd 3.35, 4 Na 3.40, 4 In 3.48

=====

Entry 12:
Below is crystalline ScTi2 at its relaxed geometry, with properties calculated at the PBE level.

formation enthalpy at 0 K = 0.138 eV/atom
uncorrected energy = -43.42 eV for the cell shown

a b c (Å): 3.4377 3.4377 10.0716
angles (deg): 90.00 90.00 90.00
Closest atoms and distances in Å follow each position.
Space group I4/mmm (No. 139)
One atom of each set of equivalent atoms:
Sc: 0.0000 0.0000 0.0000  10 Ti 3.10-3.11, 4 Sc 3.44
Ti: 0.0000 0.0000 0.3080  4 Ti 2.70

=====

Entry 13:
Below is crystalline LiCo2Re at its relaxed geometry, with properties calculated at the PBE level.

formation enthalpy at 0 K = 0.401 eV/atom
uncorrected energy = -26.97 eV for the cell shown

a b c (Å): 2.6037 4.3041 4.3054
angles (deg): 90.00 90.00 90.00
Closest atoms and distances in Å follow each position.
Space group Pmmm (No. 47)
One atom of each set of equivalent atoms:
Li: 0.0000 0.0000 0.0000  4 Re 2.52, 4 Co 2.52, 2 Li 2.60
Co: 0.0000 0.5000 0.5000  6 Co 2.52-2.60, 4 Re 2.52
Co: 0.5000 0.0000 0.5000  6 Co 2.52-2.60, 4 Li 2.52
Re: 0.5000 0.5000 0.0000  4 Li 2.52, 4 Co 2.52, 2 Re 2.60

=====

Entry 14:
Below is crystalline HoSi2Pt7Au at its relaxed geometry, with properties calculated at the PBE level.

uncorrected energy = -129.20 eV for the cell shown

a b c (Å): 4.0326 4.0326 29.2372
angles (deg): 90.00 90.00 90.00
Closest atoms and distances in Å follow each position.
Space group I-4m2 (No. 119)
One atom of each set of equivalent atoms:
Ho: 0.0000 0.0000 0.0000  12 Pt 2.85-2.97
Si: 0.0000 0.0000 0.3813  5 Pt 2.20-2.40
Pt: 0.0000 0.0000 0.3060  1 Si 2.20
Pt: 0.0000 0.0000 0.5000  4 Ho 2.85, 8 Pt 2.95-2.97
Pt: 0.0000 0.5000 0.0744  2 Si 2.40
Pt: 0.0000 0.5000 0.5738  2 Si 2.40
Au: 0.0000 0.5000 0.2500  4 Pt 2.60

=====

Entry 15:
Below is crystalline Ba2VZnRu at its relaxed geometry, with properties calculated at the PBE level.

formation enthalpy at 0 K = 1.226 eV/atom
uncorrected energy = -17.38 eV for the cell shown

a b c (Å): 6.1013 6.1013 4.7099
angles (deg): 90.00 90.00 90.00
Closest atoms and distances in Å follow each position.
Space group P4/mmm (No. 123)
One atom of each set of equivalent atoms:
Ba: 0.0000 0.5000 0.0000  2 Zn 3.05
V: 0.0000 0.0000 0.5000  8 Ba 3.85, 4 Ru 4.31
Zn: 0.5000 0.5000 0.0000  2 Ru 2.35
Ru: 0.5000 0.5000 0.5000  2 Zn 2.35

=====

Entry 16:
Below is crystalline AgSnPdS4 at its relaxed geometry, with properties calculated at the PBE level.

uncorrected energy = -121.83 eV for the cell shown

a b c (Å): 7.5747 7.6006 10.3715
angles (deg): 90.00 90.00 90.00
Closest atoms and distances in Å follow each position.
Space group Imma (No. 74)
One atom of each set of equivalent atoms:
Ag: 0.0000 0.2500 0.1398  4 S 2.48-2.56
Sn: 0.0000 0.0000 0.5000  6 S 2.56-2.62
Pd: 0.2500 0.2500 0.7500  6 S 2.44-2.50
S: 0.0000 0.0363 0.7452  1 Ag 2.48, 2 Pd 2.50, 1 Sn 2.56
S: 0.2368 0.2500 0.5148  1 Pd 2.44, 1 Ag 2.56, 2 Sn 2.62

=====

Entry 17:
Below is crystalline Zr3Tl2Cu2S8 at its relaxed geometry, with properties calculated at the PBE level.

uncorrected energy = -176.37 eV for the cell shown

a b c (Å): 14.6425 3.7281 14.0177
angles (deg): 90.00 114.27 90.00
Closest atoms and distances in Å follow each position.
Space group C2/m (No. 12)
One atom of each set of equivalent atoms:
Zr: 0.0000 0.0000 0.0000  6 S 2.60-2.62
Zr: 0.1600 0.0000 0.3788  6 S 2.58-2.61
Tl: 0.1631 0.0000 0.7927  7 S 3.28-3.34
Cu: 0.0501 0.5000 0.1951  4 S 2.29-2.35
S: 0.0293 0.5000 0.3490  1 Cu 2.30
S: 0.0974 0.5000 0.9519  1 Cu 2.29
S: 0.1455 0.0000 0.1884  2 Cu 2.35, 2 Zr 2.59-2.62
S: 0.2041 0.0000 0.5786  3 Zr 2.60-2.61

=====

Entry 18:
Below is crystalline CaIrRh2 at its relaxed geometry, with properties calculated at the PBE level.

formation enthalpy at 0 K = 0.013 eV/atom
uncorrected energy = -25.52 eV for the cell shown

a b c (Å): 2.8747 2.8747 8.0908
angles (deg): 90.00 90.00 90.00
Closest atoms and distances in Å follow each position.
Space group P4/mmm (No. 123)
One atom of each set of equivalent atoms:
Ca: 0.0000 0.0000 0.0000  4 Ca 2.87, 8 Rh 3.06
Ir: 0.0000 0.0000 0.5000  8 Rh 2.69, 4 Ir 2.87
Rh: 0.5000 0.5000 0.2828  4 Ir 2.69, 4 Rh 2.87

=====

Entry 19:
Below is crystalline Ti3AlH3 at its relaxed geometry, with properties calculated at the PBE level.

uncorrected energy = -234.73 eV for the cell shown

a b c (Å): 5.1795 5.1795 20.7851
angles (deg): 90.00 90.00 120.00
Closest atoms and distances in Å follow each position.
Space group R-3 (No. 148, hexagonal axes)
One atom of each set of equivalent atoms:
Ti: 0.0001 0.3319 0.1018  4 H 1.88-1.93
Al: 0.0000 0.0000 0.3333  6 Ti 2.73, 3 Al 2.99
H: 0.0003 0.3365 0.8613  4 Ti 1.88-1.93, 3 H 2.08-2.09

=====

Entry 20:
Below is crystalline As2AuS at its relaxed geometry, with properties calculated at the PBE level.

uncorrected energy = -65.09 eV for the cell shown

a b c (Å): 12.4115 3.9319 8.0544
angles (deg): 90.00 96.26 90.00
Closest atoms and distances in Å follow each position.
Space group C2/m (No. 12)
One atom of each set of equivalent atoms:
As: 0.0499 0.0000 0.2189  1 S 2.25
As: 0.1845 0.0000 0.6121  1 S 2.32
Au: 0.0986 0.5000 0.4228  5 As 2.59-2.74, 1 Au 2.86
S: 0.1271 0.0000 0.8762  2 As 2.25-2.32